(1)
This record from the Alexandria database describes an optimized crystal structure of NpTcP. The functional is PBE.

Computed properties:
Magnetic moment, μB/cell: 0.00
Raw total energy, eV/atom: -10.193
Formation energy, eV per formula unit: -1.86
ΔE to the lowest computed polymorph, eV/atom: 0.000

a b c (Å): 7.5003 3.3743 7.4978
angles (deg): 90.00 90.00 90.00
Last column: nearest neighbours and their distance in Å.
Space group Pnma (No. 62)
Inequivalent atoms, fractional coordinates:
Np1 0.0112 0.2500 0.1166 x4  2 Np 2.44
Tc1 0.1256 0.2500 0.5800 x4  4 P 2.43-2.52
P1 0.2049 0.7500 0.3598 x4  4 Tc 2.43-2.52

---

(2)
This record from the Alexandria database describes an optimized crystal structure of NpTc5P6. The functional is PBE.

Computed properties:
Magnetic moment, μB/cell: 7.60
Raw total energy, eV/atom: -8.474
Formation energy, eV per formula unit: -4.46

a b c (Å): 5.3569 11.1612 6.4695
angles (deg): 90.00 113.32 90.00
Last column: nearest neighbours and their distance in Å.
Space group C2/m (No. 12)
Inequivalent atoms, fractional coordinates:
Np1 0.0000 0.0000 0.0000 x2  6 P 2.66-2.84
Tc1 0.0000 0.1248 0.5000 x4  6 P 2.43-2.50
Tc2 0.0000 0.3119 0.0000 x4  4 P 2.35-2.47
Tc3 0.0000 0.5000 0.5000 x2  6 P 2.35-2.52
P1 0.1647 0.5000 0.2130 x4  5 Tc 2.35-2.47, 1 P 2.62
P2 0.2253 0.3111 0.7016 x8  4 Tc 2.35-2.52